# La2AlFeCo, optimized geometry, DFT GGA-PBEsol
data_La2AlFeCo
_chemical_formula_sum 'La2 Al1 Fe1 Co1'
_cell_length_a 5.138
_cell_length_b 5.138
_cell_length_c 4.478
_cell_angle_alpha 90.00
_cell_angle_beta 90.00
_cell_angle_gamma 90.00
_space_group_name_H-M_alt 'P 1'
_space_group_IT_number 1
_space_group_name_Hall 'P 1'
loop_
_atom_site_label
_atom_site_type_symbol
_atom_site_fract_x
_atom_site_fract_y
_atom_site_fract_z
La1 La 0.000 0.500 0.000
La2 La 0.500 0.000 0.000
Al1 Al 0.000 0.000 0.500
Fe1 Fe 0.500 0.500 0.500
Co1 Co 0.500 0.500 0.000
# Energy relative to the elements in meV/atom: 232
# Volume in A^3/atom: 23.6
# DFT total energy in eV/cell: -30.325